# 1
An optimized crystal structure of HgRuN2, computed with PBE-GGA.

## Properties
**Mass density**: 9.2 g cm⁻³
**N(E_F)**: 0.7288 states/eV per atom
**DFT total energy**: -5.137 eV/atom
**Formation energy (no corrections)**: 548 kJ/mol of formula units

Cell: 3.2382 3.2382 19.6277 Å, 90.00 90.00 120.00°
Last column: nearest neighbours and their distance in Å.
Space group R-3m (No. 166, hexagonal axes)
Inequivalent atoms, fractional coordinates:
Hg1 0.0000 0.0000 0.0000 (multiplicity 3)  6 N 2.37
Ru1 0.0000 0.0000 0.5000 (multiplicity 3)  2 N 1.81
N1 0.0000 0.0000 0.4076 (multiplicity 6)  1 Ru 1.81

# 2
An optimized crystal structure of HgRuN2, computed with PBE-GGA.

## Properties
**Mass density**: 7.2 g cm⁻³
**N(E_F)**: 0.4541 states/eV per atom
**DFT total energy**: -5.918 eV/atom
**Formation energy (no corrections)**: 247 kJ/mol of formula units

Cell: 5.9832 5.9832 8.4571 Å, 90.00 90.00 90.00°
Last column: nearest neighbours and their distance in Å.
Space group I-42d (No. 122)
Inequivalent atoms, fractional coordinates:
Hg1 0.0000 0.0000 0.0000 (multiplicity 4)  12 N 3.50-3.51, 4 Hg 3.66, 4 Ru 3.66
Ru1 0.0000 0.0000 0.5000 (multiplicity 4)  4 N 1.83
N1 0.0011 0.7500 0.6250 (multiplicity 8)  2 Ru 1.83

# 3
An optimized crystal structure of HgRuN2, computed with PBE-GGA.

## Properties
**Mass density**: 10.3 g cm⁻³
**N(E_F)**: 0.8051 states/eV per atom
**DFT total energy**: -5.832 eV/atom
**Formation energy (no corrections)**: 280 kJ/mol of formula units

Cell: 3.0774 3.0774 19.4460 Å, 90.00 90.00 120.00°
Last column: nearest neighbours and their distance in Å.
Space group R-3m (No. 166, hexagonal axes)
Inequivalent atoms, fractional coordinates:
Hg1 0.0000 0.0000 0.0000 (multiplicity 3)  2 N 2.17
Ru1 0.0000 0.0000 0.5000 (multiplicity 3)  6 N 2.07
N1 0.0000 0.0000 0.1116 (multiplicity 6)  3 Ru 2.07, 1 Hg 2.17

# 4
An optimized crystal structure of HgRuS2N, computed with PBE-GGA.

## Properties
**Mass density**: 6.2 g cm⁻³
**N(E_F)**: 1.8510 states/eV per atom
**DFT total energy**: -3.223 eV/atom
**Formation energy (no corrections)**: 969 kJ/mol of formula units
**Relative energy among the computed polymorphs**: 1552.7 meV per atom

Cell: 5.0736 5.0736 3.9775 Å, 90.00 90.00 90.00°
Last column: nearest neighbours and their distance in Å.
Space group P4/mmm (No. 123)
Inequivalent atoms, fractional coordinates:
Hg1 0.0000 0.0000 0.0000 (multiplicity 1)  2 N 1.99
Ru1 0.5000 0.5000 0.5000 (multiplicity 1)  8 S 3.22, 4 N 3.59
S1 0.0000 0.5000 0.0000 (multiplicity 2)  2 Hg 2.54
N1 0.0000 0.0000 0.5000 (multiplicity 1)  2 Hg 1.99

# 5
An optimized crystal structure of HgRuSN2, computed with PBE-GGA.

## Properties
**Mass density**: 6.2 g cm⁻³
**N(E_F)**: 0.9446 states/eV per atom
**DFT total energy**: -3.624 eV/atom
**Formation energy (no corrections)**: 1181 kJ/mol of formula units
**Relative energy among the computed polymorphs**: 1687.8 meV per atom

Cell: 4.0223 4.0223 5.9437 Å, 90.00 90.00 90.00°
Last column: nearest neighbours and their distance in Å.
Space group P4/mmm (No. 123)
Inequivalent atoms, fractional coordinates:
Hg1 0.0000 0.0000 0.0000 (multiplicity 1)  4 N 2.01
Ru1 0.5000 0.5000 0.5000 (multiplicity 1)  4 S 2.84
S1 0.0000 0.0000 0.5000 (multiplicity 1)  4 Ru 2.84, 2 Hg 2.97
N1 0.0000 0.5000 0.0000 (multiplicity 2)  2 Hg 2.01

# 6
An optimized crystal structure of HgRuS2N, computed with PBE-GGA.

## Properties
**Mass density**: 7.1 g cm⁻³
**N(E_F)**: 0.9826 states/eV per atom
**DFT total energy**: -4.775 eV/atom
**Formation energy (no corrections)**: 220 kJ/mol of formula units
**Relative energy among the computed polymorphs**: 0.0 meV per atom

Cell: 4.9066 4.9066 3.6683 Å, 90.00 90.00 90.00°
Last column: nearest neighbours and their distance in Å.
Space group P4/mmm (No. 123)
Inequivalent atoms, fractional coordinates:
Hg1 0.0000 0.0000 0.0000 (multiplicity 1)  8 S 3.06
Ru1 0.5000 0.5000 0.5000 (multiplicity 1)  2 N 1.83
S1 0.0000 0.5000 0.5000 (multiplicity 2)  2 Ru 2.45
N1 0.5000 0.5000 0.0000 (multiplicity 1)  2 Ru 1.83

# 7
An optimized crystal structure of HgRuSN2, computed with PBE-GGA.

## Properties
**Mass density**: 7.7 g cm⁻³
**N(E_F)**: 0.6875 states/eV per atom
**DFT total energy**: -5.312 eV/atom
**Formation energy (no corrections)**: 366 kJ/mol of formula units
**Relative energy among the computed polymorphs**: 0.0 meV per atom

Cell: 3.8129 3.8129 5.3401 Å, 90.00 90.00 90.00°
Last column: nearest neighbours and their distance in Å.
Space group P4/mmm (No. 123)
Inequivalent atoms, fractional coordinates:
Hg1 0.0000 0.0000 0.0000 (multiplicity 1)  4 S 2.70
Ru1 0.5000 0.5000 0.5000 (multiplicity 1)  4 N 1.91
S1 0.5000 0.5000 0.0000 (multiplicity 1)  2 Ru 2.67, 4 Hg 2.70
N1 0.0000 0.5000 0.5000 (multiplicity 2)  2 Ru 1.91

# 8
An optimized crystal structure of TaHgRuN2, computed with PBE-GGA.

## Properties
**Mass density**: 9.8 g cm⁻³
**N(E_F)**: 0.7912 states/eV per atom
**DFT total energy**: -6.778 eV/atom
**Formation energy (no corrections)**: 405 kJ/mol of formula units

Cell: 4.0330 4.0330 5.3011 Å, 90.00 90.00 90.00°
Last column: nearest neighbours and their distance in Å.
Space group P4/mmm (No. 123)
Inequivalent atoms, fractional coordinates:
Ta1 0.0000 0.0000 0.0000 (multiplicity 1)  4 N 2.02
Hg1 0.5000 0.5000 0.5000 (multiplicity 1)  4 Ru 2.85
Ru1 0.0000 0.0000 0.5000 (multiplicity 1)  2 Ta 2.65, 4 Hg 2.85
N1 0.0000 0.5000 0.0000 (multiplicity 2)  2 Ta 2.02

# 9
An optimized crystal structure of HgTeRuN2, computed with PBE-GGA.

## Properties
**Mass density**: 8.5 g cm⁻³
**N(E_F)**: 0.5172 states/eV per atom
**DFT total energy**: -5.070 eV/atom
**Formation energy (no corrections)**: 388 kJ/mol of formula units
**Relative energy among the computed polymorphs**: 0.0 meV per atom

Cell: 3.9273 3.9273 5.7817 Å, 90.00 90.00 90.00°
Last column: nearest neighbours and their distance in Å.
Space group P4/mmm (No. 123)
Inequivalent atoms, fractional coordinates:
Hg1 0.0000 0.0000 0.0000 (multiplicity 1)  4 Te 2.78
Te1 0.5000 0.5000 0.0000 (multiplicity 1)  4 Hg 2.78, 2 Ru 2.89
Ru1 0.5000 0.5000 0.5000 (multiplicity 1)  4 N 1.96
N1 0.0000 0.5000 0.5000 (multiplicity 2)  2 Ru 1.96

# 10
An optimized crystal structure of HgTeRuN2, computed with PBE-GGA.

## Properties
**Mass density**: 7.1 g cm⁻³
**N(E_F)**: 1.8346 states/eV per atom
**DFT total energy**: -3.465 eV/atom
**Formation energy (no corrections)**: 1162 kJ/mol of formula units
**Relative energy among the computed polymorphs**: 1605.0 meV per atom

Cell: 4.0122 4.0122 6.6533 Å, 90.00 90.00 90.00°
Last column: nearest neighbours and their distance in Å.
Space group P4/mmm (No. 123)
Inequivalent atoms, fractional coordinates:
Hg1 0.0000 0.0000 0.0000 (multiplicity 1)  4 N 2.01
Te1 0.0000 0.0000 0.5000 (multiplicity 1)  4 Ru 2.84
Ru1 0.5000 0.5000 0.5000 (multiplicity 1)  4 Te 2.84
N1 0.0000 0.5000 0.0000 (multiplicity 2)  2 Hg 2.01

# 11
An optimized crystal structure of VHgRu2N, computed with PBE-GGA.

## Properties
**Mass density**: 11.5 g cm⁻³
**N(E_F)**: 0.9033 states/eV per atom
**DFT total energy**: -7.200 eV/atom
**Formation energy (no corrections)**: 29 kJ/mol of formula units

Cell: 4.1166 4.1166 3.9979 Å, 90.00 90.00 90.00°
Last column: nearest neighbours and their distance in Å.
Space group P4/mmm (No. 123)
Inequivalent atoms, fractional coordinates:
V1 0.0000 0.0000 0.0000 (multiplicity 1)  2 N 2.00
Hg1 0.5000 0.5000 0.0000 (multiplicity 1)  8 Ru 2.87, 4 V 2.91
Ru1 0.0000 0.5000 0.5000 (multiplicity 2)  2 N 2.06
N1 0.0000 0.0000 0.5000 (multiplicity 1)  2 V 2.00, 4 Ru 2.06

# 12
An optimized crystal structure of Y2HgRuN, computed with PBE-GGA.

## Properties
**Mass density**: 8.5 g cm⁻³
**N(E_F)**: 0.8183 states/eV per atom
**DFT total energy**: -6.900 eV/atom
**Formation energy (no corrections)**: -354 kJ/mol of formula units

Cell: 4.9838 4.9838 3.8991 Å, 90.00 90.00 90.00°
Last column: nearest neighbours and their distance in Å.
Space group P4/mmm (No. 123)
Inequivalent atoms, fractional coordinates:
Y1 0.0000 0.5000 0.0000 (multiplicity 2)  2 N 2.49
Hg1 0.0000 0.0000 0.5000 (multiplicity 1)  8 Y 3.16, 4 Ru 3.52
Ru1 0.5000 0.5000 0.5000 (multiplicity 1)  2 N 1.95
N1 0.5000 0.5000 0.0000 (multiplicity 1)  2 Ru 1.95

# 13
An optimized crystal structure of YHgRuN2, computed with PBE-GGA.

## Properties
**Mass density**: 6.3 g cm⁻³
**N(E_F)**: 0.8769 states/eV per atom
**DFT total energy**: -5.063 eV/atom
**Formation energy (no corrections)**: 712 kJ/mol of formula units

Cell: 4.4010 4.4010 5.6658 Å, 90.00 90.00 90.00°
Last column: nearest neighbours and their distance in Å.
Space group P4/mmm (No. 123)
Inequivalent atoms, fractional coordinates:
Y1 0.0000 0.0000 0.0000 (multiplicity 1)  4 N 2.20
Hg1 0.5000 0.5000 0.5000 (multiplicity 1)  4 Ru 3.11
Ru1 0.0000 0.0000 0.5000 (multiplicity 1)  2 Y 2.83, 4 Hg 3.11
N1 0.0000 0.5000 0.0000 (multiplicity 2)  2 Y 2.20

# 14
An optimized crystal structure of HgSN3, computed with PBE-GGA.

## Properties
**Mass density**: 8.9 g cm⁻³
**N(E_F)**: 0.8955 states/eV per atom
**DFT total energy**: -3.768 eV/atom
**Formation energy (no corrections)**: 1019 kJ/mol of formula units

Cell: 3.7097 3.7097 3.7097 Å, 90.00 90.00 90.00°
Last column: nearest neighbours and their distance in Å.
Space group Pm-3m (No. 221)
Inequivalent atoms, fractional coordinates:
Hg1 0.0000 0.0000 0.0000 (multiplicity 1)  12 N 2.62
S1 0.5000 0.5000 0.5000 (multiplicity 1)  6 N 1.85
N1 0.0000 0.5000 0.5000 (multiplicity 3)  2 S 1.85